## NbCr (GGA-PBE)

Data for crystalline NbCr at its relaxed geometry.

Values from the calculation:
- magnetic moment (μB per cell) = 7.09
- total DFT energy (no corrections) (eV/atom) = -7.42
- D(E_F) (states/eV/f.u.) = 3.23

Lattice parameters (Å, degrees): 6.9320 6.9320 6.9320 90.00 90.00 90.00
With the nearest neighbours (Å) after each atom.
Sites, in units of the cell vectors:
Cr (0.5000, 0.0000, 0.2500)  4 Nb 2.45
Cr (0.7500, 0.5000, 0.0000)  4 Nb 2.45
Cr (0.0000, 0.2500, 0.5000)  4 Nb 2.45
Cr (0.0000, 0.7500, 0.5000)  4 Nb 2.45
Cr (0.5000, 0.0000, 0.7500)  4 Nb 2.45
Cr (0.2500, 0.5000, 0.0000)  4 Nb 2.45
Nb (0.7500, 0.0000, 0.5000)  4 Cr 2.45
Nb (0.5000, 0.7500, 0.0000)  4 Cr 2.45
Nb (0.5000, 0.2500, 0.0000)  4 Cr 2.45
Nb (0.0000, 0.5000, 0.7500)  4 Cr 2.45
Nb (0.0000, 0.5000, 0.2500)  4 Cr 2.45
Nb (0.2500, 0.0000, 0.5000)  4 Cr 2.45



## MnIrPt2 (GGA-PBE)

Data for crystalline MnIrPt2 at its relaxed geometry.

Values from the calculation:
- magnetic moment (μB per cell) = 3.00
- total DFT energy (no corrections) (eV/atom) = -7.59
- D(E_F) (states/eV/f.u.) = 5.77

Lattice parameters (Å, degrees): 9.0193 9.0193 9.0193 17.79 17.79 17.79
With the nearest neighbours (Å) after each atom.
Sites, in units of the cell vectors:
Ir (0.2500, 0.2500, 0.2500)  6 Ir 2.79, 6 Pt 2.83
Mn (0.7500, 0.7500, 0.7500)  6 Pt 2.66, 6 Mn 2.79
Pt (0.4961, 0.4961, 0.4961)  3 Mn 2.66, 6 Pt 2.79, 3 Ir 2.83
Pt (0.0039, 0.0039, 0.0039)  3 Mn 2.66, 6 Pt 2.79, 3 Ir 2.83



## CsCd6Ge2 (GGA-PBE)

Data for crystalline CsCd6Ge2 at its relaxed geometry.

Values from the calculation:
- magnetic moment (μB per cell) = 0.00
- total DFT energy (no corrections) (eV/atom) = -1.72
- D(E_F) (states/eV/f.u.) = 4.59

Lattice parameters (Å, degrees): 4.7148 4.7148 10.1627 90.00 90.00 90.00
With the nearest neighbours (Å) after each atom.
Sites, in units of the cell vectors:
Cd (0.5000, 0.0000, 0.7040)  2 Ge 2.83, 4 Cd 3.14
Cd (0.5000, 0.5000, 0.5000)  12 Cd 3.14-3.33
Cd (0.5000, 0.0000, 0.2960)  2 Ge 2.83, 4 Cd 3.14
Cd (0.0000, 0.5000, 0.2960)  2 Ge 2.83, 4 Cd 3.14
Cd (0.0000, 0.0000, 0.5000)  12 Cd 3.14-3.33
Cd (0.0000, 0.5000, 0.7040)  2 Ge 2.83, 4 Cd 3.14
Ge (0.5000, 0.5000, 0.1425)  4 Cd 2.83, 1 Ge 2.90
Ge (0.5000, 0.5000, 0.8575)  4 Cd 2.83, 1 Ge 2.90
Cs (0.0000, 0.0000, 0.0000)  8 Ge 3.63, 8 Cd 3.82



## HgOs3Cl (GGA-PBE)

Data for crystalline HgOs3Cl at its relaxed geometry.

Values from the calculation:
- magnetic moment (μB per cell) = 0.00
- uncorrected formation energy (eV per atom) = 1.974
- total DFT energy (no corrections) (eV/atom) = -5.19
- D(E_F) (states/eV/f.u.) = 4.73
- energy relative to the lowest polymorph listed for this composition (meV per atom) = 0

Lattice parameters (Å, degrees): 4.4047 4.4047 4.4047 90.00 90.00 90.00
With the nearest neighbours (Å) after each atom.
Sites, in units of the cell vectors:
Os (0.0000, 0.5000, 0.0000)  2 Cl 2.20
Os (0.0000, 0.0000, 0.5000)  2 Cl 2.20
Os (0.5000, 0.0000, 0.0000)  2 Cl 2.20
Cl (0.0000, 0.0000, 0.0000)  6 Os 2.20
Hg (0.5000, 0.5000, 0.5000)  12 Os 3.11



## TlHg5Pb2 (GGA-PBE)

Data for crystalline TlHg5Pb2 at its relaxed geometry.

Values from the calculation:
- magnetic moment (μB per cell) = 0.00
- total DFT energy (no corrections) (eV/atom) = -1.38
- D(E_F) (states/eV/f.u.) = 4.24
- energy relative to the lowest polymorph listed for this composition (meV per atom) = 0

Lattice parameters (Å, degrees): 8.4682 8.4682 8.7103 119.08 119.08 90.00
With the nearest neighbours (Å) after each atom.
Sites, in units of the cell vectors:
Hg (0.6800, 0.1800, 0.6574)  3 Hg 3.14-3.21, 3 Pb 3.25-3.32, 2 Tl 3.38
Hg (0.4774, 0.6800, 0.6574)  3 Hg 3.14-3.21, 3 Pb 3.25-3.32, 2 Tl 3.38
Hg (0.0000, 0.0000, 0.0000)  2 Tl 3.16, 4 Pb 3.23
Hg (0.8200, 0.0226, 0.3426)  3 Hg 3.14-3.21, 3 Pb 3.25-3.32, 2 Tl 3.38
Hg (0.5226, 0.3200, 0.3426)  3 Hg 3.14-3.21, 3 Pb 3.25-3.32, 2 Tl 3.38
Hg (0.9774, 0.4774, 0.6574)  3 Hg 3.14-3.21, 3 Pb 3.25-3.32, 2 Tl 3.38
Hg (0.1800, 0.9774, 0.6574)  3 Hg 3.14-3.21, 3 Pb 3.25-3.32, 2 Tl 3.38
Hg (0.3200, 0.8200, 0.3426)  3 Hg 3.14-3.21, 3 Pb 3.25-3.32, 2 Tl 3.38
Hg (0.5000, 0.5000, 0.0000)  2 Tl 3.16, 4 Pb 3.23
Hg (0.0226, 0.5226, 0.3426)  3 Hg 3.14-3.21, 3 Pb 3.25-3.32, 2 Tl 3.38
Tl (0.2500, 0.2500, 0.5000)  10 Hg 3.16-3.38
Tl (0.7500, 0.7500, 0.5000)  10 Hg 3.16-3.38
Pb (0.8513, 0.6487, 0.0000)  8 Hg 3.23-3.32, 1 Pb 3.56
Pb (0.1487, 0.3513, 0.0000)  8 Hg 3.23-3.32, 1 Pb 3.56
Pb (0.3513, 0.8513, 0.0000)  8 Hg 3.23-3.32, 1 Pb 3.56
Pb (0.6487, 0.1487, 0.0000)  8 Hg 3.23-3.32, 1 Pb 3.56



## ZrCoNiSn2 (GGA-PBE)

Data for crystalline ZrCoNiSn2 at its relaxed geometry.

Values from the calculation:
- magnetic moment (μB per cell) = 1.59
- total DFT energy (no corrections) (eV/atom) = -5.39
- D(E_F) (states/eV/f.u.) = 6.74

Lattice parameters (Å, degrees): 4.7312 4.8529 4.7312 90.00 90.00 90.00
With the nearest neighbours (Å) after each atom.
Sites, in units of the cell vectors:
Ni (0.0000, 0.0000, 0.0000)  4 Sn 2.37, 2 Zr 2.43
Co (0.5000, 0.5000, 0.5000)  4 Zr 3.35, 8 Sn 3.39
Sn (0.0000, 0.0000, 0.5000)  2 Ni 2.37
Sn (0.5000, 0.0000, 0.0000)  2 Ni 2.37
Zr (0.0000, 0.5000, 0.0000)  2 Ni 2.43



## LaTl2Au2 (GGA-PBE)

Data for crystalline LaTl2Au2 at its relaxed geometry.

Values from the calculation:
- magnetic moment (μB per cell) = 0.00
- total DFT energy (no corrections) (eV/atom) = -3.49
- D(E_F) (states/eV/f.u.) = 2.57
- energy relative to the lowest polymorph listed for this composition (meV per atom) = 124

Lattice parameters (Å, degrees): 5.2403 5.2403 6.1369 64.73 64.73 90.00
With the nearest neighbours (Å) after each atom.
Sites, in units of the cell vectors:
Tl (0.6426, 0.6426, 0.7148)  1 Tl 2.79, 4 Au 2.82
Tl (0.3574, 0.3574, 0.2852)  1 Tl 2.79, 4 Au 2.82
Au (0.2500, 0.7500, 0.5000)  4 Tl 2.82
Au (0.7500, 0.2500, 0.5000)  4 Tl 2.82
La (0.0000, 0.0000, 0.0000)  2 Tl 3.50, 8 Au 3.58